Entry 1:
The following is a GGA-PBE calculation of a geometry-optimized NaYN2O structure, from Alexandria.

* energy relative to the elements, uncorrected: -0.03 eV/f.u.
* VASP energy: -5.885 eV/atom
* mass density: 2.70 g/cm³
* Fermi-level density of states: 2.24 states/eV/cell
* calculated volume: 19.160 Å³ per atom

a = 4.6731 Å, b = 4.6731 Å, c = 4.3868 Å
α = 90.00°, β = 90.00°, γ = 90.00°
Closest atoms and distances in Å follow each position.
Atoms (fractional coordinates):
N: 0.5000 0.0000 0.0000  2 Y 2.34
Y: 0.0000 0.0000 0.0000  2 O 2.19, 4 N 2.34
O: 0.0000 0.0000 0.5000  2 Y 2.19
N: 0.0000 0.5000 0.0000  2 Y 2.34
Na: 0.5000 0.5000 0.5000  8 N 3.20, 4 O 3.30

Entry 2:
The following is a GGA-PBE calculation of a geometry-optimized NaYN2O structure, from Alexandria.

* energy relative to the elements, uncorrected: 2.63 eV/f.u.
* VASP energy: -5.352 eV/atom
* mass density: 3.83 g/cm³
* Fermi-level density of states: 2.44 states/eV/cell
* calculated volume: 13.506 Å³ per atom

a = 4.1083 Å, b = 4.1083 Å, c = 4.0011 Å
α = 90.00°, β = 90.00°, γ = 90.00°
Closest atoms and distances in Å follow each position.
Atoms (fractional coordinates):
Y: 0.5000 0.5000 0.5000  8 N 2.87, 4 O 2.90
N: 0.5000 0.0000 0.0000  2 Na 2.05
N: 0.0000 0.5000 0.0000  2 Na 2.05
Na: 0.0000 0.0000 0.0000  2 O 2.00, 4 N 2.05
O: 0.0000 0.0000 0.5000  2 Na 2.00

Entry 3:
The following is a GGA-PBE calculation of a geometry-optimized NaYNO2 structure, from Alexandria.

* energy relative to the elements, uncorrected: -1.60 eV/f.u.
* VASP energy: -5.525 eV/atom
* mass density: 4.02 g/cm³
* Fermi-level density of states: 2.30 states/eV/cell
* calculated volume: 13.029 Å³ per atom

a = 4.0289 Å, b = 4.0289 Å, c = 4.0134 Å
α = 90.00°, β = 90.00°, γ = 90.00°
Closest atoms and distances in Å follow each position.
Atoms (fractional coordinates):
N: 0.0000 0.0000 0.5000  2 Na 2.01
Y: 0.5000 0.5000 0.5000  8 O 2.84, 4 N 2.85
Na: 0.0000 0.0000 0.0000  2 N 2.01, 4 O 2.01
O: 0.5000 0.0000 0.0000  2 Na 2.01
O: 0.0000 0.5000 0.0000  2 Na 2.01

Entry 4:
The following is a GGA-PBE calculation of a geometry-optimized NaYN2O structure, from Alexandria.

* energy relative to the elements, uncorrected: 3.30 eV/f.u.
* VASP energy: -5.218 eV/atom
* mass density: 3.21 g/cm³
* Fermi-level density of states: 1.85 states/eV/cell
* calculated volume: 16.137 Å³ per atom

a = 4.4700 Å, b = 4.0381 Å, c = 4.4700 Å
α = 90.00°, β = 90.00°, γ = 90.00°
Closest atoms and distances in Å follow each position.
Atoms (fractional coordinates):
N: 0.5000 0.0000 0.0000  2 O 2.23
O: 0.0000 0.0000 0.0000  2 Y 2.02, 4 N 2.23
N: 0.0000 0.0000 0.5000  2 O 2.23
Na: 0.5000 0.5000 0.5000  8 N 3.01, 4 Y 3.16
Y: 0.0000 0.5000 0.0000  2 O 2.02

Entry 5:
The following is a GGA-PBE calculation of a geometry-optimized NaYNO2 structure, from Alexandria.

* energy relative to the elements, uncorrected: -4.45 eV/f.u.
* VASP energy: -6.094 eV/atom
* mass density: 2.83 g/cm³
* Fermi-level density of states: 3.16 states/eV/cell
* calculated volume: 18.546 Å³ per atom

a = 4.4283 Å, b = 4.4283 Å, c = 4.7290 Å
α = 90.00°, β = 90.00°, γ = 90.00°
Closest atoms and distances in Å follow each position.
Atoms (fractional coordinates):
O: 0.5000 0.0000 0.0000  2 Y 2.21
N: 0.0000 0.0000 0.5000  2 Y 2.36
O: 0.0000 0.5000 0.0000  2 Y 2.21
Na: 0.5000 0.5000 0.5000  4 N 3.13, 8 O 3.24
Y: 0.0000 0.0000 0.0000  4 O 2.21, 2 N 2.36

Entry 6:
The following is a GGA-PBE calculation of a geometry-optimized NaZnNO2 structure, from Alexandria.

* energy relative to the elements, uncorrected: 1.01 eV/f.u.
* VASP energy: -3.965 eV/atom
* mass density: 3.51 g/cm³
* Fermi-level density of states: 2.68 states/eV/cell
* calculated volume: 12.733 Å³ per atom

a = 4.0002 Å, b = 4.0002 Å, c = 3.9788 Å
α = 90.00°, β = 90.00°, γ = 90.00°
Closest atoms and distances in Å follow each position.
Atoms (fractional coordinates):
Na: 0.5000 0.5000 0.5000  8 O 2.82, 4 N 2.83
O: 0.0000 0.5000 0.0000  2 Zn 2.00
N: 0.0000 0.0000 0.5000  2 Zn 1.99
O: 0.5000 0.0000 0.0000  2 Zn 2.00
Zn: 0.0000 0.0000 0.0000  2 N 1.99, 4 O 2.00

Entry 7:
The following is a GGA-PBE calculation of a geometry-optimized NaZnNO2 structure, from Alexandria.

* energy relative to the elements, uncorrected: 5.91 eV/f.u.
* VASP energy: -2.984 eV/atom
* mass density: 3.11 g/cm³
* Fermi-level density of states: 1.61 states/eV/cell
* calculated volume: 14.339 Å³ per atom

a = 4.1223 Å, b = 4.1223 Å, c = 4.2191 Å
α = 90.00°, β = 90.00°, γ = 90.00°
Closest atoms and distances in Å follow each position.
Atoms (fractional coordinates):
Zn: 0.5000 0.5000 0.5000  4 N 2.91, 8 O 2.95
O: 0.0000 0.5000 0.0000  2 Na 2.06
O: 0.5000 0.0000 0.0000  2 Na 2.06
N: 0.0000 0.0000 0.5000  2 Na 2.11
Na: 0.0000 0.0000 0.0000  4 O 2.06, 2 N 2.11

Entry 8:
The following is a GGA-PBE calculation of a geometry-optimized NaOsN3 structure, from Alexandria.

* energy relative to the elements, uncorrected: 2.96 eV/f.u.
* VASP energy: -6.913 eV/atom
* mass density: 7.37 g/cm³
* Fermi-level density of states: 2.71 states/eV/cell
* calculated volume: 11.495 Å³ per atom

a = 3.8592 Å, b = 3.8592 Å, c = 3.8592 Å
α = 90.00°, β = 90.00°, γ = 90.00°
Closest atoms and distances in Å follow each position.
Atoms (fractional coordinates):
N: 0.0000 0.0000 0.5000  2 Os 1.93
Na: 0.5000 0.5000 0.5000  12 N 2.73
Os: 0.0000 0.0000 0.0000  6 N 1.93
N: 0.0000 0.5000 0.0000  2 Os 1.93
N: 0.5000 0.0000 0.0000  2 Os 1.93

Entry 9:
The following is a GGA-PBE calculation of a geometry-optimized Na3OsN3 structure, from Alexandria.

* energy relative to the elements, uncorrected: -0.69 eV/f.u.
* VASP energy: -5.836 eV/atom
* mass density: 4.07 g/cm³
* Fermi-level density of states: 0.00 states/eV/cell
* calculated volume: 17.539 Å³ per atom

a = 6.2276 Å, b = 6.2276 Å, c = 6.6552 Å
α = 90.19°, β = 90.19°, γ = 107.95°
Closest atoms and distances in Å follow each position.
Atoms (fractional coordinates):
Na: 0.8027 0.1973 0.0000  4 N 2.42-2.59
N: 0.9860 0.9860 0.2493  1 Os 1.78
N: 0.0140 0.0140 0.7507  1 Os 1.78
Na: 0.3233 0.3233 0.2514  3 N 2.47-2.68
N: 0.7750 0.4703 0.2511  1 Os 1.77
N: 0.4703 0.7750 0.2511  1 Os 1.77
N: 0.5297 0.2250 0.7489  1 Os 1.77
Na: 0.8028 0.1972 0.5000  4 N 2.42-2.60
Na: 0.6767 0.6767 0.7486  3 N 2.47-2.68
N: 0.2250 0.5297 0.7489  1 Os 1.77
Na: 0.1973 0.8027 0.0000  4 N 2.42-2.59
Os: 0.7434 0.7434 0.2498  3 N 1.77-1.78
Os: 0.2566 0.2566 0.7502  3 N 1.77-1.78
Na: 0.1972 0.8028 0.5000  4 N 2.42-2.60

Entry 10:
The following is a GGA-PBE calculation of a geometry-optimized Na7OsN3 structure, from Alexandria.

* energy relative to the elements, uncorrected: 0.16 eV/f.u.
* VASP energy: -4.116 eV/atom
* mass density: 2.49 g/cm³
* Fermi-level density of states: 4.17 states/eV/cell
* calculated volume: 23.844 Å³ per atom

a = 6.9578 Å, b = 6.6952 Å, c = 7.4541 Å
α = 77.22°, β = 62.18°, γ = 58.69°
Closest atoms and distances in Å follow each position.
Atoms (fractional coordinates):
Os: 0.8768 0.5675 0.6789  3 N 1.78-1.80
Na: 0.7909 0.0201 0.9085  2 N 2.47-2.53
Na: 0.2725 0.9689 0.4861  3 N 2.42-2.59
Na: 0.7997 0.9882 0.4124  2 N 2.61
N: 0.0492 0.7187 0.6237  1 Os 1.80
Na: 0.2805 0.0201 0.9085  2 N 2.47-2.53
Na: 0.3644 0.4977 0.2620  1 N 2.67
Na: 0.8759 0.4977 0.2620  1 N 2.67
N: 0.9889 0.2708 0.7513  1 Os 1.78
Na: 0.3672 0.5141 0.7516  2 N 2.43
N: 0.6085 0.7187 0.6237  1 Os 1.80

Entry 11:
The following is a GGA-PBE calculation of a geometry-optimized Na3OsN structure, from Alexandria.

* energy relative to the elements, uncorrected: 6.80 eV/f.u.
* VASP energy: -3.343 eV/atom
* mass density: 4.37 g/cm³
* Fermi-level density of states: 4.54 states/eV/cell
* polymorph energy (0 for the lowest one): 0.00 eV/f.u.
* calculated volume: 20.757 Å³ per atom

a = 4.6994 Å, b = 4.6994 Å, c = 4.6994 Å
α = 90.00°, β = 90.00°, γ = 90.00°
Closest atoms and distances in Å follow each position.
Atoms (fractional coordinates):
Os: 0.5000 0.5000 0.5000  12 Na 3.32
Na: 0.0000 0.5000 0.0000  2 N 2.35
Na: 0.0000 0.0000 0.5000  2 N 2.35
N: 0.0000 0.0000 0.0000  6 Na 2.35
Na: 0.5000 0.0000 0.0000  2 N 2.35

Entry 12:
The following is a GGA-PBE calculation of a geometry-optimized NaOs4N2 structure, from Alexandria.

* energy relative to the elements, uncorrected: 19.71 eV/f.u.
* VASP energy: -6.168 eV/atom
* mass density: 12.66 g/cm³
* Fermi-level density of states: 9.49 states/eV/cell
* calculated volume: 15.209 Å³ per atom

a = 4.4113 Å, b = 4.4113 Å, c = 6.2977 Å
α = 69.50°, β = 69.50°, γ = 90.00°
Closest atoms and distances in Å follow each position.
Atoms (fractional coordinates):
Os: 0.7619 0.7619 0.4761  1 N 1.78
Os: 0.0000 0.5000 0.0000  2 Na 2.21, 4 N 2.46
Os: 0.2381 0.2381 0.5239  1 N 1.78
Na: 0.0000 0.0000 0.0000  4 Os 2.21
N: 0.4010 0.4010 0.1980  1 Os 1.78
N: 0.5990 0.5990 0.8020  1 Os 1.78
Os: 0.5000 0.0000 0.0000  2 Na 2.21, 4 N 2.46